Record 1
DFT (PBE) results for a relaxed GdTl crystal.

Lattice parameters (Å, degrees): 3.800 3.800 3.800 90.00 90.00 90.00
Space group Pm-3m (No. 221)
Inequivalent atoms, fractional coordinates:
Gd: 0.000 0.000 0.000 x1
Tl: 0.500 0.500 0.500 x1

Calculated values
Uncorrected energy ... -3.87 eV/atom
Crystal system ... cubic

Record 2
DFT (PBE) results for a relaxed GdTl crystal.

Lattice parameters (Å, degrees): 6.286 6.286 6.286 90.00 90.00 90.00
Space group Fm-3m (No. 225)
Inequivalent atoms, fractional coordinates:
Gd: 0.000 0.000 0.000 x4
Tl: 0.000 0.000 0.500 x4

Calculated values
Uncorrected energy ... -3.59 eV/atom
Crystal system ... cubic